Record 1
VASP calculation (GGA-PBE) on a relaxed NbTc3Os crystal.

The structure belongs to space group Pm-3m (No. 221); the cell edges are 4.633, 4.633 and 4.633 Å and the angles 90.00°, 90.00° and 90.00°. The asymmetric unit holds Nb at (0.000, 0.000, 0.000), Tc at (0.000, 0.500, 0.500) and Os at (0.500, 0.500, 0.500).

The formation energy is 8.15 eV/f.u. As for the final energy: -8.8496 eV/atom. The calculation puts the volume at 19.89 Å³/atom. For the offset from the most stable computed form, the calculation gives 0.000 eV per formula unit. The value obtained for the total magnetic moment is 0.00 Bohr magnetons per cell. Its crystal system is cubic. The value obtained for the density of states at the Fermi level is 1.340 states/eV per atom.

***

Record 2
VASP calculation (GGA-PBE) on a relaxed Nb4Tc2Os crystal.

The structure belongs to space group I4/mmm (No. 139); the cell edges are 6.291, 6.291 and 6.347 Å and the angles 90.00°, 90.00° and 90.00°. The asymmetric unit holds Nb at (0.250, 0.250, 0.250), Tc at (0.000, 0.500, 0.000) and Os at (0.000, 0.000, 0.000).

The formation energy is -0.15 eV/f.u. As for the final energy: -10.3415 eV/atom. The calculation puts the volume at 17.94 Å³/atom. The value obtained for the total magnetic moment is 0.00 Bohr magnetons per cell. Its crystal system is tetragonal. The value obtained for the density of states at the Fermi level is 0.569 states/eV per atom.

***

Record 3
VASP calculation (GGA-PBE) on a relaxed Nb3Tc2Os crystal.

The structure belongs to space group P4/mmm (No. 123); the cell edges are 3.187, 3.187 and 9.602 Å and the angles 90.00°, 90.00° and 90.00°. The asymmetric unit holds Nb at (0.000, 0.000, 0.000), Nb at (0.000, 0.000, 0.329), Tc at (0.500, 0.500, 0.167) and Os at (0.500, 0.500, 0.500).

The formation energy is -1.70 eV/f.u. As for the final energy: -10.6456 eV/atom. The calculation puts the volume at 16.26 Å³/atom. The value obtained for the total magnetic moment is 0.00 Bohr magnetons per cell. Its crystal system is tetragonal. The value obtained for the density of states at the Fermi level is 0.475 states/eV per atom.

***

Record 4
VASP calculation (GGA-PBE) on a relaxed Nb6TcOs2 crystal.

The structure belongs to space group Immm (No. 71); the cell edges are 4.411, 6.172 and 13.138 Å and the angles 90.00°, 90.00° and 90.00°. The asymmetric unit holds Nb at (0.000, 0.249, 0.000), Nb at (0.000, 0.251, 0.334), Tc at (0.000, 0.500, 0.500) and Os at (0.000, 0.500, 0.167).

The formation energy is 2.12 eV/f.u. As for the final energy: -10.1249 eV/atom. The calculation puts the volume at 19.87 Å³/atom. The value obtained for the total magnetic moment is 0.00 Bohr magnetons per cell. Its crystal system is orthorhombic. The value obtained for the density of states at the Fermi level is 0.589 states/eV per atom.